(1)
Compound: Ac4MnS7
Source: Alexandria via LeMat-Bulk
Functional: PBE
Structure: optimized geometry

```
12
Lattice="4.749 0.000 1.580 2.094 8.273 1.634 -0.121 -0.144 8.292" Properties=species:S:1:pos:R:3 pbc="T T T"
Ac 4.758 5.371 9.481
Ac 3.563 6.418 5.145
Ac 1.964 2.758 2.025
Ac 3.158 1.711 6.361
S 5.487 7.035 7.290
S 2.802 4.502 7.433
S 2.374 0.000 0.790
S 1.880 5.990 2.275
S 1.235 1.094 4.216
S 3.919 3.627 4.073
S 4.841 2.139 9.231
Mn 0.000 0.000 0.000
```

Output
DOS(E_F), states/eV per cell: 2.406
Energy relative to the elements, uncorrected, eV/f.u.: -22.0

---

(2)
Compound: PuNpSe3
Source: Alexandria via LeMat-Bulk
Functional: PBE
Structure: optimized geometry

```
20
Lattice="4.092 0.000 0.000 0.000 7.686 0.000 0.000 0.000 15.631" Properties=species:S:1:pos:R:3 pbc="T T T"
Np 3.069 2.894 11.098
Np 1.023 4.793 4.534
Np 1.023 0.949 3.282
Np 3.069 6.737 12.350
Se 3.069 4.811 6.708
Se 3.069 7.652 9.519
Se 1.023 1.200 12.173
Se 1.023 3.878 1.703
Se 3.069 2.643 4.357
Se 3.069 6.486 3.459
Se 3.069 0.968 1.108
Se 1.023 5.043 11.274
Se 3.069 3.809 13.928
Se 1.023 2.875 8.924
Se 1.023 6.718 14.523
Se 1.023 0.035 6.113
Pu 3.069 1.817 7.184
Pu 1.023 5.870 8.447
Pu 1.023 2.026 15.000
Pu 3.069 5.660 0.631
```

Output
Offset from the most stable computed form, meV/atom: 0
DOS(E_F), states/eV per cell: 60.826
Energy relative to the elements, uncorrected, eV/f.u.: -6.8